A crystal of Cd3CoTc relaxed with PBEsol, computed with meta-GGA SCAN.

Properties
Spin magnetization   4.4 μB per formula unit
Final energy   -27.2752 eV/atom
E_form   1.446 eV per atom
Density   6.30 Mg/m³

```
data_Cd3CoTc
_chemical_formula_sum 'Cd3 Co1 Tc1'
_space_group_name_H-M_alt 'P m -3 m'
_space_group_IT_number 221
_space_group_name_Hall '-P 4 2 3'
_cell_length_a 5.068
_cell_length_b 5.068
_cell_length_c 5.068
_cell_angle_alpha 90.00
_cell_angle_beta 90.00
_cell_angle_gamma 90.00
loop_
_atom_site_label
_atom_site_fract_x
_atom_site_fract_y
_atom_site_fract_z
_atom_site_occupancy
Cd1 0.000 0.000 0.500 1
Co1 0.500 0.500 0.500 1
Tc1 0.000 0.000 0.000 1
```


A crystal of CdCo3Tc relaxed with PBEsol, computed with meta-GGA SCAN.

Properties
Spin magnetization   3.7 μB per formula unit
Final energy   -22.1043 eV/atom
ΔE to the lowest computed polymorph   0.000 eV/atom
E_form   1.373 eV per atom
Density   7.90 Mg/m³

```
data_CdCo3Tc
_chemical_formula_sum 'Cd1 Co3 Tc1'
_space_group_name_H-M_alt 'P m -3 m'
_space_group_IT_number 221
_space_group_name_Hall '-P 4 2 3'
_cell_length_a 4.333
_cell_length_b 4.333
_cell_length_c 4.333
_cell_angle_alpha 90.00
_cell_angle_beta 90.00
_cell_angle_gamma 90.00
loop_
_atom_site_label
_atom_site_fract_x
_atom_site_fract_y
_atom_site_fract_z
_atom_site_occupancy
Cd1 0.000 0.000 0.000 1
Co1 0.000 0.500 0.500 1
Tc1 0.500 0.500 0.500 1
```


A crystal of CdCo3Tc relaxed with PBEsol, computed with meta-GGA SCAN.

Properties
Spin magnetization   8.9 μB per formula unit
Final energy   -21.4349 eV/atom
ΔE to the lowest computed polymorph   0.669 eV/atom
E_form   2.043 eV per atom
Density   7.15 Mg/m³

```
data_CdCo3Tc
_chemical_formula_sum 'Cd1 Co3 Tc1'
_space_group_name_H-M_alt 'P m -3 m'
_space_group_IT_number 221
_space_group_name_Hall '-P 4 2 3'
_cell_length_a 4.480
_cell_length_b 4.480
_cell_length_c 4.480
_cell_angle_alpha 90.00
_cell_angle_beta 90.00
_cell_angle_gamma 90.00
loop_
_atom_site_label
_atom_site_fract_x
_atom_site_fract_y
_atom_site_fract_z
_atom_site_occupancy
Cd1 0.000 0.000 0.000 1
Co1 0.000 0.000 0.500 1
Tc1 0.500 0.500 0.500 1
```


A crystal of CdCo2Te relaxed with PBEsol, computed with meta-GGA SCAN.

Properties
Spin magnetization   0.0 μB per formula unit
Final energy   -24.8216 eV/atom
ΔE to the lowest computed polymorph   0.438 eV/atom
Density   8.87 Mg/m³

```
data_CdCo2Te
_chemical_formula_sum 'Cd4 Co8 Te4'
_space_group_name_H-M_alt 'I -4 2 d'
_space_group_IT_number 122
_space_group_name_Hall 'I -4 2bw'
_cell_length_a 6.815
_cell_length_b 6.815
_cell_length_c 5.768
_cell_angle_alpha 90.00
_cell_angle_beta 90.00
_cell_angle_gamma 90.00
loop_
_atom_site_label
_atom_site_fract_x
_atom_site_fract_y
_atom_site_fract_z
_atom_site_occupancy
Cd1 0.000 0.000 0.000 1
Co1 0.220 0.750 0.625 1
Te1 0.000 0.000 0.500 1
```